Material: CdFe2O
Method: DFT, GGA+U
State: relaxed

Values from the calculation:
M_tot (Bohr magnetons per cell): 24.000
Mass density (Mg/m³): 6.734
D(E_F) (states/eV per cell): 8.4
Polymorph energy (0 for the lowest one) (kJ per mole of atoms): 83.7

CIF file:
```
data_CdFe2O
_chemical_formula_sum 'Cd4 Fe8 O4'
_symmetry_space_group_name_H-M 'F m -3 m'
_symmetry_Int_Tables_number 225
_symmetry_space_group_name_Hall '-F 4 2 3'
_cell_length_a 6.187
_cell_length_b 6.187
_cell_length_c 6.187
_cell_angle_alpha 90.00
_cell_angle_beta 90.00
_cell_angle_gamma 90.00
loop_
_atom_site_label
_atom_site_fract_x
_atom_site_fract_y
_atom_site_fract_z
Cd1 0.000 0.000 0.000
Fe1 0.250 0.250 0.250
O1 0.000 0.000 0.500
```